4
Lattice="-2.883 3.943 -0.316 -1.897 1.977 4.056 1.608 4.341 1.590" Properties=species:S:1:pos:R:3 comment="CdCuHg2 | Alexandria via LeMat-Bulk | PBE-GGA | optimized geometry" rho_g_cm3=11.6 pbc="T T T"
Hg 0.000 0.000 0.000
Hg -2.379 7.696 3.997
Cd -1.586 5.131 2.665
Cu -0.793 2.565 1.332

=====

13
Lattice="5.060 0.000 2.034 2.530 6.781 1.017 0.001 0.000 7.308" Properties=species:S:1:pos:R:3 comment="Cd8Cu4Hg | Alexandria via LeMat-Bulk | PBE-GGA | optimized geometry" rho_g_cm3=9.0 pbc="T T T"
Cd 3.085 1.485 6.947
Cd 4.224 2.242 4.115
Cd 5.615 5.296 7.964
Cd 1.694 4.538 3.098
Cd 3.367 4.538 6.245
Cd 1.976 1.485 2.395
Cd 0.837 2.242 5.228
Cd 4.506 5.296 3.412
Cu 0.001 0.000 3.654
Cu 2.530 0.000 4.671
Cu 1.265 3.390 0.508
Cu 3.795 3.390 1.525
Hg 0.000 0.000 0.000

=====

12
Lattice="-3.521 0.668 -4.047 5.448 1.534 -4.488 -0.864 -7.488 2.205" Properties=species:S:1:pos:R:3 comment="Cd4CuHg | Alexandria via LeMat-Bulk | PBE-GGA | optimized geometry" rho_g_cm3=9.1 e_above_lowest_polymorph_kj_per_mol_atoms=0.0 pbc="T T T"
Cd -0.423 -0.899 -3.504
Cd -1.783 -3.723 -3.438
Cd -1.448 -5.212 -0.410
Cd 0.185 -7.193 1.340
Cd 1.486 -4.387 -2.826
Cd 2.510 -0.074 -5.920
Cd 2.846 -1.564 -2.892
Cd 0.878 1.906 -7.670
Hg 1.093 -2.725 -5.417
Hg -0.030 -2.561 -0.913
Cu 0.914 -6.528 -1.121
Cu 0.148 1.242 -5.209

=====

4
Lattice="-3.370 -2.605 0.781 2.189 -2.568 0.882 1.566 -0.225 6.005" Properties=species:S:1:pos:R:3 comment="CdCuHg2 | Alexandria via LeMat-Bulk | PBE-GGA | optimized geometry" rho_g_cm3=11.3 pbc="T T T"
Hg -0.866 -1.878 2.005
Hg 3.409 -2.389 6.740
Cd 2.102 -1.597 3.743
Cu 1.372 -3.722 5.511

=====

17
Lattice="5.952 0.000 0.000 0.000 7.655 -4.420 0.000 0.000 8.839" Properties=species:S:1:pos:R:3 comment="Cd10CuHg6 | Alexandria via LeMat-Bulk | PBE-GGA | optimized geometry" rho_g_cm3=9.9 pbc="T T T"
Cd 4.645 1.836 -1.060
Cd 1.307 1.836 1.060
Cd 4.645 0.000 2.120
Cd 0.000 2.552 4.420
Cd 4.645 5.819 3.360
Cd 2.976 5.103 0.000
Cd 1.307 0.000 6.719
Cd 2.976 2.552 4.420
Cd 1.307 5.819 -3.360
Cd 0.000 5.103 0.000
Hg 4.393 4.647 -2.683
Hg 1.559 0.000 3.474
Hg 1.559 3.008 -1.737
Hg 1.559 4.647 2.683
Hg 4.393 3.008 1.737
Hg 4.393 0.000 5.366
Cu 2.976 0.000 0.000

=====

4
Lattice="-1.117 -7.145 -4.396 -0.244 -8.372 -1.215 -3.569 -7.438 -1.889" Properties=species:S:1:pos:R:3 comment="CdCuHg2 | Alexandria via LeMat-Bulk | PBE-GGA | optimized geometry" rho_g_cm3=10.9 pbc="T T T"
Cu -3.698 -17.216 -5.625
Hg -2.415 -11.243 -3.673
Hg -0.050 -0.235 -0.077
Cd -1.233 -5.739 -1.875

=====

4
Lattice="-0.308 0.522 -3.165 -2.778 -1.633 0.001 -3.882 6.605 1.468" Properties=species:S:1:pos:R:3 comment="CdCuHg2 | Alexandria via LeMat-Bulk | PBE-GGA | optimized geometry" rho_g_cm3=11.8 pbc="T T T"
Hg -3.750 6.380 1.418
Hg -2.073 3.528 0.784
Cu -4.455 4.399 -0.481
Cd -2.514 1.096 -1.215

=====

4
Lattice="7.105 0.034 0.028 4.961 5.086 -0.028 -5.579 -3.630 2.486" Properties=species:S:1:pos:R:3 comment="CdCuHg2 | Alexandria via LeMat-Bulk | PBE-GGA | optimized geometry" rho_g_cm3=10.8 pbc="T T T"
Cd 3.780 -0.518 1.257
Cu 2.708 2.008 1.229
Hg 0.800 0.340 0.000
Hg 5.233 2.220 0.000

=====

Number 1: E_form 0.2384 eV per atom, DFT total energy -1.165 eV per atom. Number 2: E_form 0.0558 eV per atom, DFT total energy -1.791 eV per atom. Number 3: E_form 0.0414 eV per atom, DFT total energy -1.302 eV per atom. Number 4: E_form 0.1565 eV per atom, DFT total energy -1.247 eV per atom. Number 5: E_form 0.0643 eV per atom, DFT total energy -0.821 eV per atom. Number 6: E_form 0.1675 eV per atom, DFT total energy -1.236 eV per atom. Number 7: E_form 0.1526 eV per atom, DFT total energy -1.251 eV per atom. Number 8: E_form 0.0933 eV per atom, DFT total energy -1.310 eV per atom.